Entry from Alexandria via LeMat-Bulk: a geometry-optimized Dy3HoTc structure (PBE-GGA).

abc: 12.039 3.892 12.767
angles: 90.00 112.40 90.00
Space group Cm (No. 8)
Inequivalent atoms, fractional coordinates:
Dy: 0.000 0.000 0.000 (multiplicity 2)
Dy: 0.027 0.000 0.374 (multiplicity 2)
Dy: 0.169 0.500 0.237 (multiplicity 2)
Dy: 0.196 0.500 0.612 (multiplicity 2)
Dy: 0.354 0.000 0.473 (multiplicity 2)
Dy: 0.471 0.000 0.755 (multiplicity 2)
Ho: 0.225 0.000 0.856 (multiplicity 2)
Ho: 0.342 0.000 0.138 (multiplicity 2)
Tc: 0.029 0.000 0.611 (multiplicity 2)
Tc: 0.168 0.500 0.001 (multiplicity 2)

Properties
* energy above the lowest structure with this stoichiometry: 0.00 eV/f.u.
* energy relative to the elements: -0.0675 eV/atom